No. 1
The following is a PBEsol calculation of a relaxed Ta2Cr crystal, from Alexandria via LeMat-Bulk.

The density is 13388 kg/m3. Its volume is 17.11 Å³/atom. The value obtained for the calculated formation energy is 0.81 eV per atom. Its total DFT energy (no corrections) is -0.806 Ry/atom.

The space group is Fd-3m (No. 227, origin choice 2) and the conventional cell measures 7.433, 7.433 and 7.433 Å, with angles of 90.00, 90.00 and 90.00 degrees. The distinct sites, in fractional coordinates, are Ta at (0.000, 0.000, 0.000) and Cr at (0.125, 0.125, 0.625).

No. 2
The following is a PBEsol calculation of a relaxed TaCr2 crystal, from Alexandria via LeMat-Bulk.

The density is 11573 kg/m3. Its volume is 13.63 Å³/atom. The value obtained for the calculated formation energy is 0.42 eV per atom. As for the energy relative to the lowest polymorph listed for this composition: 0.535 eV/atom. Its total DFT energy (no corrections) is -0.779 Ry/atom.

The space group is P6_3/mmc (No. 194) and the conventional cell measures 4.4334, 4.4334 and 4.8036 Å, with angles of 90.00, 90.00 and 120.00 degrees. The distinct sites, in fractional coordinates, are Ta at (0.3333, 0.6667, 0.2500), Cr at (0.0000, 0.0000, 0.0000) and Cr at (0.3333, 0.6667, 0.7500).

No. 3
The following is a PBEsol calculation of a relaxed TaCr2 crystal, from Alexandria via LeMat-Bulk.

The density is 11762 kg/m3. Its volume is 13.41 Å³/atom. The value obtained for the calculated formation energy is -0.11 eV per atom. As for the energy relative to the lowest polymorph listed for this composition: 0.005 eV/atom. Its total DFT energy (no corrections) is -0.818 Ry/atom.

The space group is P6_3/mmc (No. 194) and the conventional cell measures 4.8419, 4.8419 and 15.8516 Å, with angles of 90.00, 90.00 and 120.00 degrees. The distinct sites, in fractional coordinates, are Ta at (0.0000, 0.0000, 0.0944), Ta at (0.3333, 0.6667, 0.1562), Cr at (0.0000, 0.5000, 0.0000), Cr at (0.1638, 0.3275, 0.7500) and Cr at (0.3333, 0.6667, 0.6241).

No. 4
The following is a PBEsol calculation of a relaxed Ta2Cr crystal, from Alexandria via LeMat-Bulk.

The density is 14801 kg/m3. Its volume is 15.48 Å³/atom. The value obtained for the calculated formation energy is 0.01 eV per atom. Its total DFT energy (no corrections) is -0.865 Ry/atom.

The space group is Cmcm (No. 63) and the conventional cell measures 3.127, 13.096 and 4.536 Å, with angles of 90.00, 90.00 and 90.00 degrees. The distinct sites, in fractional coordinates, are Ta at (0.000, 0.076, 0.250), Ta at (0.000, 0.241, 0.750) and Cr at (0.000, 0.418, 0.250).

No. 5
The following is a PBEsol calculation of a relaxed TaCr5 crystal, from Alexandria via LeMat-Bulk.

The density is 9980 kg/m3. Its volume is 12.23 Å³/atom. The value obtained for the calculated formation energy is 0.04 eV per atom. Its total DFT energy (no corrections) is -0.778 Ry/atom.

The space group is P4/mmm (No. 123) and the conventional cell measures 2.890, 2.890 and 8.786 Å, with angles of 90.00, 90.00 and 90.00 degrees. The distinct sites, in fractional coordinates, are Ta at (0.000, 0.000, 0.000), Cr at (0.000, 0.000, 0.341), Cr at (0.500, 0.500, 0.186) and Cr at (0.500, 0.500, 0.500).

No. 6
The following is a PBEsol calculation of a relaxed Ta5Cr crystal, from Alexandria via LeMat-Bulk.

The density is 15931 kg/m3. Its volume is 16.62 Å³/atom. The value obtained for the calculated formation energy is 0.04 eV per atom. As for the energy relative to the lowest polymorph listed for this composition: 0.000 eV/atom. Its total DFT energy (no corrections) is -0.892 Ry/atom.

The space group is C2/m (No. 12) and the conventional cell measures 10.185, 3.191 and 6.459 Å, with angles of 90.00, 108.19 and 90.00 degrees. The distinct sites, in fractional coordinates, are Ta at (0.000, 0.000, 0.000), Ta at (0.157, 0.500, 0.341), Ta at (0.163, 0.500, 0.820) and Cr at (0.000, 0.000, 0.500).

No. 7
The following is a PBEsol calculation of a relaxed TaCr crystal, from Alexandria via LeMat-Bulk.

The density is 13359 kg/m3. Its volume is 14.48 Å³/atom. The value obtained for the calculated formation energy is 0.13 eV per atom. Its total DFT energy (no corrections) is -0.828 Ry/atom.

The space group is P2_1/m (No. 11) and the conventional cell measures 2.781, 4.250 and 4.994 Å, with angles of 90.00, 101.16 and 90.00 degrees. The distinct sites, in fractional coordinates, are Ta at (0.135, 0.250, 0.360) and Cr at (0.384, 0.750, 0.121).

No. 8
The following is a PBEsol calculation of a relaxed TaCr crystal, from Alexandria via LeMat-Bulk.

The density is 12524 kg/m3. Its volume is 15.44 Å³/atom. The value obtained for the calculated formation energy is 0.58 eV per atom. Its total DFT energy (no corrections) is -0.795 Ry/atom.

The space group is P-6m2 (No. 187) and the conventional cell measures 2.8296, 2.8296 and 4.4543 Å, with angles of 90.00, 90.00 and 120.00 degrees. The distinct sites, in fractional coordinates, are Ta at (0.0000, 0.0000, 0.0000) and Cr at (0.3333, 0.6667, 0.5000).

No. 9
The following is a PBEsol calculation of a relaxed Ta2Cr crystal, from Alexandria via LeMat-Bulk.

The density is 14812 kg/m3. Its volume is 15.47 Å³/atom. The value obtained for the calculated formation energy is 0.00 eV per atom. Its total DFT energy (no corrections) is -0.866 Ry/atom.

The space group is I4/mmm (No. 139) and the conventional cell measures 3.105, 3.105 and 9.628 Å, with angles of 90.00, 90.00 and 90.00 degrees. The distinct sites, in fractional coordinates, are Ta at (0.000, 0.000, 0.155) and Cr at (0.000, 0.000, 0.500).

No. 10
The following is a PBEsol calculation of a relaxed Ta4Cr crystal, from Alexandria via LeMat-Bulk.

The density is 13507 kg/m3. Its volume is 19.08 Å³/atom. The value obtained for the calculated formation energy is 1.04 eV per atom. As for the energy relative to the lowest polymorph listed for this composition: 1.011 eV/atom. Its total DFT energy (no corrections) is -0.812 Ry/atom.

The space group is Im-3m (No. 229) and the conventional cell measures 5.756, 5.756 and 5.756 Å, with angles of 90.00, 90.00 and 90.00 degrees. The distinct sites, in fractional coordinates, are Ta at (0.250, 0.250, 0.250) and Cr at (0.000, 0.000, 0.000).

No. 11
The following is a PBEsol calculation of a relaxed Ta4Cr crystal, from Alexandria via LeMat-Bulk.

The density is 15710 kg/m3. Its volume is 16.40 Å³/atom. The value obtained for the calculated formation energy is 0.02 eV per atom. As for the energy relative to the lowest polymorph listed for this composition: 0.000 eV/atom. Its total DFT energy (no corrections) is -0.887 Ry/atom.

The space group is I4/m (No. 87) and the conventional cell measures 7.205, 7.205 and 3.159 Å, with angles of 90.00, 90.00 and 90.00 degrees. The distinct sites, in fractional coordinates, are Ta at (0.091, 0.287, 0.000) and Cr at (0.000, 0.000, 0.500).

No. 12
The following is a PBEsol calculation of a relaxed Ta2Cr crystal, from Alexandria via LeMat-Bulk.

The density is 14323 kg/m3. Its volume is 16.00 Å³/atom. The value obtained for the calculated formation energy is 0.35 eV per atom. Its total DFT energy (no corrections) is -0.841 Ry/atom.

The space group is P-3m1 (No. 164) and the conventional cell measures 2.9941, 2.9941 and 6.1809 Å, with angles of 90.00, 90.00 and 120.00 degrees. The distinct sites, in fractional coordinates, are Ta at (0.3333, 0.6667, 0.3104) and Cr at (0.0000, 0.0000, 0.0000).